BaN8Cl2 | PBE-GGA | optimized geometry

Values from the calculation:
Magnetization (μB/f.u.): 24.0
E_form (uncorrected) (eV per atom): 3.171
Calculated total energy (eV/atom): -3.394
Volume (Å³/cell): 456.96
Space-group type: C2/m

Lattice parameters (Å, degrees): 10.182 10.182 4.756 95.43 95.43 68.89
Fractional coordinates of all 11 atoms:
Ba  0.000  0.000  0.000
N  0.134  0.670  0.140
N  0.250  0.250  0.127
N  0.330  0.866  0.860
N  0.415  0.415  0.698
N  0.585  0.585  0.302
N  0.670  0.134  0.140
N  0.750  0.750  0.873
N  0.866  0.330  0.860
Cl  0.113  0.113  0.543
Cl  0.887  0.887  0.457